Density functional theory data (PBE with a Hubbard U) for an optimized crystal structure of VGeO6.

a b c (Å): 5.273 5.273 5.273
angles (deg): 60.00 60.00 60.00
Fractional positions:
1 V 0.500 0.500 0.500
2 O 0.250 0.750 0.250
3 O 0.750 0.250 0.750
4 O 0.250 0.250 0.750
5 O 0.250 0.750 0.750
6 O 0.750 0.750 0.250
7 O 0.750 0.250 0.250
8 Ge 0.000 0.000 0.000

For the theoretical density, the calculation gives 3.5 g/cm³. The symmetry is Fm-3m, No. 225. The total energy comes out at -6.11 eV/atom.